Density functional theory data (GGA-PBE) for a relaxed TlHgBi2Mo crystal.

Cell lengths 5.3771, 5.5678, 5.3771 Å; angles 90.00, 90.00, 90.00 degrees
Positions (direct):
Mo (0.0000, 0.0000, 0.0000)
Tl (0.0000, 0.5000, 0.0000)
Bi (0.0000, 0.0000, 0.5000)
Bi (0.5000, 0.0000, 0.0000)
Hg (0.5000, 0.5000, 0.5000)

* uncorrected energy: -3.861 eV per atom
* energy of formation from the pure elements: 1.954 eV per formula unit

Density functional theory data (GGA-PBE) for a relaxed Hg2BiN crystal.

Cell lengths 3.7173, 18.1447, 13.6845 Å; angles 16.19, 105.96, 114.35 degrees
Positions (direct):
Hg (0.6535, 0.5225, 0.3600)
Hg (0.3465, 0.4775, 0.6400)
Hg (0.9630, 0.1549, 0.4062)
Hg (0.0370, 0.8451, 0.5938)
Bi (0.2035, 0.7193, 0.5120)
Bi (0.7965, 0.2807, 0.4880)
N (0.4207, 0.7787, 0.1145)
N (0.5793, 0.2213, 0.8855)

* relative energy among the computed polymorphs: 0.0 meV per atom
* uncorrected energy: -2.581 eV per atom
* formation energy (no corrections): 621 meV/atom

Density functional theory data (GGA-PBE) for a relaxed HgBiN2 crystal.

Cell lengths 6.7560, 6.7560, 6.7560 Å; angles 31.46, 31.46, 31.46 degrees
Positions (direct):
N (0.8934, 0.8934, 0.8934)
N (0.1066, 0.1066, 0.1066)
Bi (0.5000, 0.5000, 0.5000)
Hg (0.0000, 0.0000, 0.0000)

* relative energy among the computed polymorphs: 726.0 meV per atom
* uncorrected energy: -4.351 eV per atom
* formation energy (no corrections): 857 meV/atom